i) Below is crystalline VGa3As at its relaxed geometry, with properties calculated at the PBE level.

```
VGa3As
1.0
4.9218 0.0000 0.0000
0.0000 4.9218 0.0000
0.0000 0.0000 4.9218
Ga As V
3 1 1
Direct
0.5000 0.0000 0.0000
0.0000 0.0000 0.5000
0.0000 0.5000 0.0000
0.0000 0.0000 0.0000
0.5000 0.5000 0.5000
```

Summary:
Crystal system: cubic
Volume in Å³/cell: 119

ii) Below is crystalline VGa3As at its relaxed geometry, with properties calculated at the PBE level.

```
VGa3As
1.0
-2.0580 3.5892 -2.4677
-2.7566 -3.1864 -2.3357
-3.3724 0.4142 3.4151
Ga V As
3 1 1
Direct
0.0000 0.5000 0.0000
0.5000 0.0000 0.0000
0.0000 0.0000 0.5000
0.0000 0.0000 0.0000
0.5000 0.5000 0.5000
```

Summary:
Crystal system: cubic
Volume in Å³/cell: 112

Stability comparison, relative energies in eV/atom: i) 0.214; ii) 0.000

i) Below is crystalline VGaAs3 at its relaxed geometry, with properties calculated at the PBE level.

```
VGaAs3
1.0
4.8549 0.0000 0.0000
0.0000 4.8549 0.0000
0.0000 0.0000 4.8549
As Ga V
3 1 1
Direct
0.5000 0.0000 0.0000
0.0000 0.0000 0.5000
0.0000 0.5000 0.0000
0.0000 0.0000 0.0000
0.5000 0.5000 0.5000
```

Summary:
Crystal system: cubic
Volume in Å³/cell: 114

ii) Below is crystalline VGaAs3 at its relaxed geometry, with properties calculated at the PBE level.

```
VGaAs3
1.0
-0.0075 -3.9234 -2.7238
3.1024 -2.0750 2.9802
-3.6314 -1.7645 2.5517
As Ga V
3 1 1
Direct
0.0000 0.5000 0.0000
0.5000 0.0000 0.0000
0.0000 0.0000 0.5000
0.5000 0.5000 0.5000
0.0000 0.0000 0.0000
```

Summary:
Crystal system: cubic
Volume in Å³/cell: 109

Stability comparison, relative energies in eV/atom: i) 0.746; ii) 0.000

i) Below is crystalline Ga3AsW at its relaxed geometry, with properties calculated at the PBE level.

```
Ga3AsW
1.0
4.9394 0.0000 0.0000
0.0000 4.9394 0.0000
0.0000 0.0000 4.9394
Ga As W
3 1 1
Direct
0.5000 0.0000 0.0000
0.0000 0.5000 0.0000
0.0000 0.0000 0.5000
0.5000 0.5000 0.5000
0.0000 0.0000 0.0000
```

Summary:
Crystal system: cubic
Volume in Å³/cell: 121

ii) Below is crystalline Ga3AsW at its relaxed geometry, with properties calculated at the PBE level.

```
Ga3AsW
1.0
4.8666 0.0000 0.0000
0.0000 4.8666 0.0000
0.0000 0.0000 4.8666
Ga W As
3 1 1
Direct
0.0000 0.0000 0.5000
0.0000 0.5000 0.0000
0.5000 0.0000 0.0000
0.5000 0.5000 0.5000
0.0000 0.0000 0.0000
```

Summary:
Crystal system: cubic
Volume in Å³/cell: 115

Stability comparison, relative energies in eV/atom: i) 0.000; ii) 0.479